# PBE Ce2Th2Ga4Rh, relaxed
# Formation energy, eV per formula unit: -3.70
# DOS at the Fermi energy, states/eV per atom: 1.393
# Mass density, g cm⁻³: 8.68
data_Ce2Th2Ga4Rh
_chemical_formula_sum 'Ce4 Th4 Ga8 Rh2'
_space_group_name_H-M_alt 'I 4/m m m'
_space_group_IT_number 139
_space_group_name_Hall '-I 4 2'
_cell_length_a 7.389
_cell_length_b 7.389
_cell_length_c 7.889
_cell_angle_alpha 90.00
_cell_angle_beta 90.00
_cell_angle_gamma 90.00
loop_
_atom_site_label
_atom_site_fract_x
_atom_site_fract_y
_atom_site_fract_z
_atom_site_occupancy
Ce1 0.000 0.000 0.177 1
Th1 0.000 0.500 0.250 1
Ga1 0.240 0.240 0.500 1
Rh1 0.000 0.000 0.500 1

# PBE Tl2PbSe2, relaxed
# ΔE to the lowest computed polymorph, meV per atom: 334.4
# E_form (uncorrected), eV/atom: -0.05
# DOS at the Fermi energy, states/eV per atom: 0.595
# Mass density, g cm⁻³: 8.29
data_Tl2PbSe2
_chemical_formula_sum 'Tl4 Pb2 Se4'
_space_group_name_H-M_alt 'I 4/m m m'
_space_group_IT_number 139
_space_group_name_Hall '-I 4 2'
_cell_length_a 5.765
_cell_length_b 5.765
_cell_length_c 9.324
_cell_angle_alpha 90.00
_cell_angle_beta 90.00
_cell_angle_gamma 90.00
loop_
_atom_site_label
_atom_site_fract_x
_atom_site_fract_y
_atom_site_fract_z
_atom_site_occupancy
Tl1 0.000 0.000 0.158 1
Pb1 0.000 0.000 0.500 1
Se1 0.000 0.500 0.250 1

# PBE Be3Os4, relaxed
# ΔE to the lowest computed polymorph, meV per atom: 0.0
# Formation energy, eV per formula unit: -1.29
# DOS at the Fermi energy, states/eV per atom: 0.419
# Mass density, g cm⁻³: 16.14
data_Be3Os4
_chemical_formula_sum 'Be6 Os8'
_space_group_name_H-M_alt 'I 4/m m m'
_space_group_IT_number 139
_space_group_name_Hall '-I 4 2'
_cell_length_a 2.810
_cell_length_b 2.810
_cell_length_c 20.537
_cell_angle_alpha 90.00
_cell_angle_beta 90.00
_cell_angle_gamma 90.00
loop_
_atom_site_label
_atom_site_fract_x
_atom_site_fract_y
_atom_site_fract_z
_atom_site_occupancy
Be1 0.000 0.000 0.000 1
Be2 0.000 0.000 0.275 1
Os1 0.000 0.000 0.154 1
Os2 0.000 0.000 0.431 1

# PBE SbRuCl2, relaxed
# ΔE to the lowest computed polymorph, meV per atom: 0.0
# E_form (uncorrected), eV/atom: -0.18
# DOS at the Fermi energy, states/eV per atom: 0.665
# Mass density, g cm⁻³: 5.29
data_SbRuCl2
_chemical_formula_sum 'Sb2 Ru2 Cl4'
_space_group_name_H-M_alt 'A m m 2'
_space_group_IT_number 38
_cell_length_a 3.859
_cell_length_b 4.805
_cell_length_c 9.945
_cell_angle_alpha 90.00
_cell_angle_beta 90.00
_cell_angle_gamma 90.00
loop_
_space_group_symop_operation_xyz
'x,y,z'
'-x,-y,z'
'-x,y,z'
'x,-y,z'
'x,y+1/2,z+1/2'
'-x,-y+1/2,z+1/2'
'-x,y+1/2,z+1/2'
'x,-y+1/2,z+1/2'
loop_
_atom_site_label
_atom_site_fract_x
_atom_site_fract_y
_atom_site_fract_z
_atom_site_occupancy
Sb1 0.000 0.000 0.000 1
Ru1 0.500 0.000 0.839 1
Cl1 0.000 0.000 0.640 1
Cl2 0.500 0.000 0.297 1

# PBE Er2ZnCu3Ge4, relaxed
# Formation energy, eV per formula unit: -4.36
# DOS at the Fermi energy, states/eV per atom: 0.184
# Mass density, g cm⁻³: 8.47
data_Er2ZnCu3Ge4
_chemical_formula_sum 'Er2 Zn1 Cu3 Ge4'
_space_group_name_H-M_alt 'P -4 m 2'
_space_group_IT_number 115
_cell_length_a 4.045
_cell_length_b 4.045
_cell_length_c 10.564
_cell_angle_alpha 90.00
_cell_angle_beta 90.00
_cell_angle_gamma 90.00
loop_
_space_group_symop_operation_xyz
'x,y,z'
'y,-x,-z'
'-x,-y,z'
'-y,x,-z'
'-x,y,z'
'-y,-x,-z'
'x,-y,z'
'y,x,-z'
loop_
_atom_site_label
_atom_site_fract_x
_atom_site_fract_y
_atom_site_fract_z
_atom_site_occupancy
Er1 0.000 0.500 0.249 1
Zn1 0.500 0.500 0.000 1
Cu1 0.000 0.000 0.000 1
Cu2 0.000 0.500 0.637 1
Ge1 0.000 0.000 0.500 1
Ge2 0.000 0.500 0.858 1
Ge3 0.500 0.500 0.500 1